Version P
6
Lattice="3.435 -0.385 -0.818 -1.998 8.049 -4.393 -1.736 -3.626 9.851" Properties=species:S:1:pos:R:3 comment="TbPmHo4, relaxed, DFT GGA-PBE" volume_a3_per_fu=189.8 spacegroup="P-1, No. 2" pbc="T T T"
Tb -1.148 6.043 0.123
Pm 0.000 0.000 0.000
Ho -1.922 1.598 6.655
Ho 0.662 3.234 1.301
Ho 1.623 2.440 -2.016
Ho -0.961 0.804 3.339



Version Q
12
Lattice="-3.177 -3.824 3.663 -3.438 -4.497 -2.469 11.223 -4.352 0.000" Properties=species:S:1:pos:R:3 comment="TbPmHo4, relaxed, DFT GGA-PBE" volume_a3_per_fu=189.9 spacegroup="C2/c, No. 15" pbc="T T T"
Ho 2.792 -5.806 -1.026
Ho 0.622 -3.807 0.911
Ho -1.582 -6.577 1.309
Ho 1.816 -6.867 2.221
Ho -3.925 -5.025 -0.826
Ho 6.190 -6.095 -0.114
Ho 8.534 -7.648 2.021
Ho 3.986 -8.866 0.284
Pm -0.611 -5.530 -1.965
Pm 5.219 -7.143 3.160
Tb -1.719 -2.249 -1.234
Tb 4.023 -4.088 1.832



Decreasing stability: version Q, version P



Version P
10
Lattice="6.056 0.000 0.000 3.028 7.487 0.000 3.028 0.000 7.487" Properties=species:S:1:pos:R:3 comment="Tb4Pm5Ho, relaxed, DFT GGA-PBE" volume_a3_per_fu=339.5 spacegroup="I4mm, No. 107" pbc="T T T"
Tb 8.740 5.055 5.052
Tb 5.712 5.052 2.432
Tb 2.684 2.432 2.436
Tb 5.712 2.436 5.055
Pm 5.798 7.484 4.655
Pm 4.163 0.000 0.000
Pm 8.825 2.833 7.484
Pm 2.770 4.655 0.003
Pm 5.798 0.003 2.833
Ho 1.335 0.000 0.000



Version Q
10
Lattice="-0.730 2.089 -2.836 -10.243 -1.351 1.641 -0.671 6.111 6.952" Properties=species:S:1:pos:R:3 comment="Tb4Pm5Ho, relaxed, DFT GGA-PBE" volume_a3_per_fu=340.8 spacegroup="C2/m, No. 12" pbc="T T T"
Pm -8.171 0.993 2.837
Pm -5.487 0.369 -0.598
Pm -3.473 5.856 2.920
Pm -4.529 2.165 2.757
Pm -7.115 4.684 3.000
Tb -2.532 0.322 0.888
Tb -9.113 6.527 4.868
Tb -10.000 3.311 5.009
Tb -1.644 3.538 0.747
Ho -0.365 1.045 -1.418



Decreasing stability: version Q, version P



Version P
9
Lattice="-2.731 -2.553 3.445 4.430 -6.143 2.711 1.436 3.182 7.247" Properties=species:S:1:pos:R:3 comment="Tb4Pm4Ho, relaxed, DFT GGA-PBE" volume_a3_per_fu=296.1 spacegroup="I4/mmm, No. 139" pbc="T T T"
Pm 3.437 -3.052 4.215
Pm 3.016 -2.826 7.799
Pm -0.303 -2.462 9.189
Pm 0.119 -2.688 5.604
Tb -0.436 0.203 3.556
Tb 3.571 -5.716 9.848
Tb 1.142 -5.804 4.106
Tb 1.993 0.291 9.298
Ho 0.000 0.000 0.000



Version Q
9
Lattice="5.455 0.000 1.289 1.992 7.785 3.758 0.876 2.923 8.478" Properties=species:S:1:pos:R:3 comment="Tb4Pm4Ho, relaxed, DFT GGA-PBE" volume_a3_per_fu=298.8 spacegroup="C2/m, No. 12" pbc="T T T"
Tb 3.765 6.453 8.441
Tb 1.407 3.621 6.231
Tb 6.916 7.087 7.294
Tb 4.558 4.255 5.084
Ho 2.728 0.000 0.645
Pm 2.144 5.533 3.112
Pm 6.179 5.175 10.413
Pm 2.085 1.994 3.364
Pm 6.238 8.713 10.161



Decreasing stability: version P, version Q



Version P
10
Lattice="5.491 0.000 0.000 0.000 9.249 -0.599 0.000 -4.707 7.984" Properties=species:S:1:pos:R:3 comment="Tb2PmHo7, relaxed, DFT GGA-PBE" volume_a3_per_fu=390.0 spacegroup="Cmmm, No. 65" pbc="T T T"
Pm 0.000 0.000 0.000
Ho 2.745 5.318 5.108
Ho 0.000 -1.783 6.186
Ho 2.745 2.382 0.335
Ho 2.745 2.160 7.051
Ho 0.000 6.325 1.199
Ho 2.745 -0.776 2.277
Ho 2.745 2.271 3.693
Tb 2.745 5.101 1.952
Tb 2.745 -0.560 5.433



Version Q
10
Lattice="6.063 0.178 -0.949 0.970 7.459 -5.581 -1.625 -2.359 8.924" Properties=species:S:1:pos:R:3 comment="Tb2PmHo7, relaxed, DFT GGA-PBE" volume_a3_per_fu=314.5 spacegroup="P-1, No. 2" pbc="T T T"
Ho 3.516 3.819 -3.265
Ho 2.408 3.415 2.756
Ho -1.105 -0.391 6.020
Ho -0.587 1.565 3.134
Ho 6.513 5.669 -3.626
Ho 3.000 1.863 -0.362
Ho 5.994 3.713 -0.741
Pm 0.000 0.000 0.000
Tb 2.482 -0.113 2.542
Tb 2.926 5.391 -0.148



Decreasing stability: version Q, version P



Version P
12
Lattice="-5.362 3.430 -3.231 1.564 -11.090 1.421 -4.615 11.346 3.949" Properties=species:S:1:pos:R:3 comment="Tb5Pm3Ho4, relaxed, DFT GGA-PBE" volume_a3_per_fu=385.7 spacegroup="P-1, No. 2" pbc="T T T"
Tb -4.595 3.204 3.167
Tb -5.176 6.664 3.842
Tb -3.818 0.482 -1.027
Tb -4.989 7.388 0.359
Tb -3.237 -2.978 -1.703
Pm -3.998 -0.246 2.472
Pm -4.416 3.932 -0.333
Pm -2.307 5.673 1.975
Ho -6.696 1.474 0.858
Ho -1.139 -1.234 0.591
Ho -7.274 4.920 1.548
Ho -1.718 2.212 1.282



Version Q
12
Lattice="5.915 0.000 0.000 2.957 7.501 -2.826 2.957 -0.751 9.171" Properties=species:S:1:pos:R:3 comment="Tb5Pm3Ho4, relaxed, DFT GGA-PBE" volume_a3_per_fu=394.3 spacegroup="C2/m, No. 12" pbc="T T T"
Tb 2.957 3.348 -0.270
Tb 5.915 3.375 3.173
Tb 8.872 6.532 4.670
Tb 2.957 0.218 1.675
Tb 8.872 3.402 6.616
Pm 5.915 1.801 5.799
Pm 2.957 3.375 3.173
Pm 5.915 4.949 0.546
Ho 5.915 5.131 6.432
Ho 5.915 1.618 -0.086
Ho 8.872 6.887 0.753
Ho 2.957 -0.137 5.592



Decreasing stability: version P, version Q



Version P
18
Lattice="-5.121 -7.631 0.789 1.210 0.134 9.144 -3.943 7.782 -4.245" Properties=species:S:1:pos:R:3 comment="TbPm5Ho3, relaxed, DFT GGA-PBE" volume_a3_per_fu=305.5 spacegroup="I4/mcm, No. 140" pbc="T T T"
Pm -2.841 -1.178 2.275
Pm -6.107 0.667 -1.083
Pm -3.662 4.470 -2.351
Pm -4.192 -4.185 8.040
Pm -2.568 5.265 2.145
Pm -5.013 1.462 3.413
Pm 0.000 0.000 0.000
Pm -1.746 -0.382 6.772
Pm -5.286 -4.981 3.543
Pm -1.956 -3.749 4.966
Tb -2.344 2.083 4.933
Tb -5.510 -1.799 0.756
Ho -4.905 -1.732 5.327
Ho -3.817 -6.707 6.284
Ho -2.949 2.017 0.361
Ho -2.993 -4.643 1.491
Ho -0.919 -2.854 8.442
Ho -0.094 -0.790 3.649



Version Q
18
Lattice="-2.830 6.894 -5.632 -5.278 -8.421 0.091 -4.166 2.670 5.362" Properties=species:S:1:pos:R:3 comment="TbPm5Ho3, relaxed, DFT GGA-PBE" volume_a3_per_fu=299.0 spacegroup="Cmcm, No. 63" pbc="T T T"
Pm -3.014 5.471 -2.584
Pm -7.274 3.265 2.639
Pm -3.983 4.093 2.314
Pm -7.073 -0.794 -0.148
Pm -8.158 -1.889 4.519
Pm -6.085 -3.219 1.851
Pm -4.117 3.032 -4.697
Pm -5.202 1.937 -0.030
Pm -5.000 -2.122 -2.818
Pm -6.190 4.362 -2.029
Tb -1.973 2.936 -0.513
Tb -5.024 6.628 0.243
Ho -6.767 0.915 -3.231
Ho -3.427 -1.102 0.368
Ho -5.508 0.228 3.053
Ho -8.848 2.245 -0.546
Ho -2.083 1.335 2.681
Ho 0.000 0.000 0.000



Decreasing stability: version Q, version P